(1)
A plane-wave DFT calculation with PBEsol was carried out for an optimized crystal structure of TiReN3.

The energy is -10.13 eV/atom. The uncorrected formation energy is -0.684 eV per atom. Its magnetic moment is 0.00 Bohr magnetons per cell.

It has space group R3c (No. 161, hexagonal axes), with a = 5.0529 Å, b = 5.0529 Å, c = 14.0746 Å, α = 90.00°, β = 90.00° and γ = 120.00°. Symmetry generates all atoms from Ti at (0.0000, 0.0000, 0.0000), Re at (0.0000, 0.0000, 0.1948) and N at (0.0237, 0.3420, 0.2643).

***

(2)
A plane-wave DFT calculation with PBEsol was carried out for an optimized crystal structure of LiAl2.

The energy is -3.47 eV/atom. Its magnetic moment is 0.00 Bohr magnetons per cell. The calculation puts the energy relative to the lowest polymorph listed for this composition at 9.8 meV/atom. The formation energy is -0.0852 eV/atom.

It has space group I4/mmm (No. 139), with a = 2.803 Å, b = 2.803 Å, c = 12.556 Å, α = 90.00°, β = 90.00° and γ = 90.00°. Symmetry generates all atoms from Li at (0.000, 0.000, 0.000) and Al at (0.000, 0.000, 0.330).

***

(3)
A plane-wave DFT calculation with PBEsol was carried out for an optimized crystal structure of Sn3RhN.

The energy is -4.97 eV/atom. The uncorrected formation energy is 0.921 eV per atom. Its magnetic moment is 0.23 Bohr magnetons per cell.

It has space group Pm-3m (No. 221), with a = 4.958 Å, b = 4.958 Å, c = 4.958 Å, α = 90.00°, β = 90.00° and γ = 90.00°. Symmetry generates all atoms from Sn at (0.000, 0.000, 0.500), Rh at (0.000, 0.000, 0.000) and N at (0.500, 0.500, 0.500).

***

(4)
A plane-wave DFT calculation with PBEsol was carried out for an optimized crystal structure of SrAl2Te.

The energy is -3.68 eV/atom. The uncorrected formation energy is -0.294 eV per atom. Its magnetic moment is 0.00 Bohr magnetons per cell.

It has space group Cm (No. 8), with a = 9.642 Å, b = 3.987 Å, c = 5.737 Å, α = 90.00°, β = 107.29° and γ = 90.00°. Symmetry generates all atoms from Sr at (0.000, 0.000, 0.000), Al at (0.265, 0.500, 0.331), Al at (0.485, 0.000, 0.452) and Te at (0.232, 0.000, 0.672).